Material: Nb2ZnCd
Method: DFT, PBE
State: optimized geometry

```
8
Lattice="-3.765 3.765 2.692 3.765 -3.765 2.692 3.765 3.765 -2.692" Properties=species:S:1:pos:R:3 pbc="T T T"
Nb 1.883 1.777 -0.673
Nb 1.989 -1.883 3.365
Nb 1.883 1.989 2.019
Nb 1.777 5.648 0.673
Zn 0.000 0.000 0.000
Zn 0.000 3.765 1.346
Cd 3.765 0.000 1.346
Cd 0.000 0.000 2.692
```

Properties
Distance to the lowest polymorph of the same formula = 194 meV/atom
ρ = 7.9 Mg/m³

---

Material: ZrSc3Cd12
Method: DFT, PBE
State: optimized geometry

```
16
Lattice="4.374 0.000 0.000 0.000 4.374 0.000 0.000 0.000 18.282" Properties=species:S:1:pos:R:3 pbc="T T T"
Zr 0.000 0.000 0.000
Sc 0.000 0.000 4.536
Sc 0.000 0.000 9.141
Sc 0.000 0.000 13.746
Cd 0.000 2.187 2.259
Cd 0.000 2.187 6.834
Cd 0.000 2.187 11.449
Cd 0.000 2.187 16.024
Cd 2.187 0.000 2.259
Cd 2.187 0.000 6.834
Cd 2.187 0.000 11.449
Cd 2.187 0.000 16.024
Cd 2.187 2.187 0.000
Cd 2.187 2.187 4.538
Cd 2.187 2.187 9.141
Cd 2.187 2.187 13.744
```

Properties
ρ = 7.5 Mg/m³

---

Material: NaTb2BiO6
Method: DFT, PBE
State: optimized geometry

```
10
Lattice="2.907 1.679 5.159 -2.907 1.679 5.159 0.000 -3.357 5.159" Properties=species:S:1:pos:R:3 pbc="T T T"
Na 0.000 0.000 0.000
Tb 0.000 0.000 3.435
Tb 0.000 0.000 11.234
Bi 0.000 0.000 8.047
O -0.830 -1.704 7.046
O -1.613 0.109 9.509
O -1.060 1.571 7.046
O 0.712 -1.451 9.509
O 1.890 0.133 7.046
O 0.900 1.342 9.509
```

Properties
Raw formation energy = -23.30 eV/f.u.
ρ = 7.1 Mg/m³

---

Material: LaMgGa
Method: DFT, PBE
State: optimized geometry

```
6
Lattice="5.137 0.000 0.000 0.000 3.597 0.000 -0.575 0.000 8.625" Properties=species:S:1:pos:R:3 pbc="T T T"
La 1.012 0.000 1.802
La 3.550 0.000 6.823
Mg 1.005 1.798 5.008
Mg 3.557 1.798 3.617
Ga 0.995 1.798 7.772
Ga 3.567 1.798 0.853
```

Properties
ρ = 4.9 Mg/m³

---

Material: Mg2SbTe
Method: DFT, PBE
State: optimized geometry

```
4
Lattice="3.937 0.000 0.000 0.000 4.399 0.000 0.000 0.000 6.150" Properties=species:S:1:pos:R:3 pbc="T T T"
Mg 0.000 0.000 0.000
Mg 0.000 2.199 3.075
Sb 1.969 0.000 3.075
Te 1.969 2.199 0.000
```

Properties
Raw formation energy = -0.80 eV/f.u.
Distance to the lowest polymorph of the same formula = 267 meV/atom
ρ = 4.6 Mg/m³

---

Material: Ac2La4Sm5
Method: DFT, PBE
State: optimized geometry

```
11
Lattice="9.681 -1.875 0.000 9.681 1.875 0.000 -0.685 0.000 11.185" Properties=species:S:1:pos:R:3 pbc="T T T"
Ac 1.492 0.000 5.064
Ac 17.185 0.000 6.121
La 2.917 0.000 10.185
La 8.582 0.000 2.964
La 10.094 0.000 8.221
La 15.760 0.000 1.000
Sm 0.000 0.000 0.000
Sm 4.988 0.000 4.022
Sm 6.479 0.000 9.233
Sm 12.197 0.000 1.952
Sm 13.688 0.000 7.163
```

Properties
ρ = 7.2 Mg/m³

---

no.,uncorrected energy (eV/atom)
1,-5.059
2,-2.585
3,-6.751
4,-3.508
5,-2.815
6,-4.656